No. 1
# AlSiAsSe2

A relaxed AlSiAsSe2 crystal (PBE-GGA, the Alexandria database).

POSCAR file:
```
AlSiAsSe2
1.0
4.8348 0.0000 0.0000
0.0000 4.8348 0.0000
0.0000 0.0000 4.8399
Al Si As Se
1 1 1 2
Direct
0.0000 0.0000 0.0000 Al
0.5000 0.5000 0.5000 Si
0.5000 0.5000 0.0000 As
0.0000 0.5000 0.5000 Se
0.5000 0.0000 0.5000 Se
```

Output
Space group = No. 123
DOS(E_F) = 0.889 states/eV per atom
Offset from the most stable computed form = 0.00 eV per formula unit
Energy = -3.7627 eV/atom
Energy relative to the elements, uncorrected = 0.394 eV per atom

***

No. 2
# AlSiAsSe

A relaxed AlSiAsSe crystal (PBE-GGA, the Alexandria database).

POSCAR file:
```
AlSiAsSe
1.0
3.7506 0.0000 0.0000
-1.8753 3.2481 0.0000
0.0000 0.0000 8.9298
Al Si As Se
1 1 1 1
Direct
0.0000 0.0000 0.0000 Al
0.0000 0.0000 0.2730 Si
0.3333 0.6667 0.3956 As
0.6667 0.3333 0.8707 Se
```

Output
Space group = No. 156
DOS(E_F) = 0.000 states/eV per atom
Energy = -4.7283 eV/atom
Energy relative to the elements, uncorrected = -0.403 eV per atom

***

No. 3
# AlSnAs2Se

A relaxed AlSnAs2Se crystal (PBE-GGA, the Alexandria database).

POSCAR file:
```
AlSnAs2Se
1.0
5.2642 0.0000 0.0000
0.0000 5.2642 0.0000
0.0000 0.0000 5.3423
Al Sn As Se
1 1 2 1
Direct
0.0000 0.0000 0.0000 Al
0.5000 0.5000 0.5000 Sn
0.0000 0.5000 0.5000 As
0.5000 0.0000 0.5000 As
0.5000 0.5000 0.0000 Se
```

Output
Space group = No. 123
DOS(E_F) = 0.972 states/eV per atom
Offset from the most stable computed form = 2.68 eV per formula unit
Energy = -3.3504 eV/atom
Energy relative to the elements, uncorrected = 0.755 eV per atom

***

No. 4
# AlSnAs2Se

A relaxed AlSnAs2Se crystal (PBE-GGA, the Alexandria database).

POSCAR file:
```
AlSnAs2Se
1.0
4.8804 0.0000 0.0000
0.0000 4.8804 0.0000
0.0000 0.0000 5.0253
Al Sn As Se
1 1 2 1
Direct
0.0000 0.0000 0.0000 Al
0.5000 0.5000 0.5000 Sn
0.0000 0.5000 0.0000 As
0.5000 0.0000 0.0000 As
0.0000 0.0000 0.5000 Se
```

Output
Space group = No. 123
DOS(E_F) = 0.701 states/eV per atom
Offset from the most stable computed form = 0.00 eV per formula unit
Energy = -3.8862 eV/atom
Energy relative to the elements, uncorrected = 0.220 eV per atom

***

Number 2 is which compound?
AlSiAsSe